Material: AlVTcRh
Method: DFT, GGA-PBE
State: relaxed

Lattice parameters (Å, degrees): 4.2728 4.2728 4.2728 60.00 60.00 60.00
Closest atoms and distances in Å follow each position.
Sites, in units of the cell vectors:
Al 0.0000 0.0000 0.0000  4 Tc 2.62, 4 Rh 2.62
V 0.5000 0.5000 0.5000  4 Tc 2.62, 4 Rh 2.62
Tc 0.7500 0.7500 0.7500  4 Al 2.62, 4 V 2.62
Rh 0.2500 0.2500 0.2500  4 Al 2.62, 4 V 2.62

## Properties
Symmetry: No. 216



Material: Zr2AlTcRh
Method: DFT, GGA-PBE
State: relaxed

Lattice parameters (Å, degrees): 4.9651 4.9651 4.6927 90.00 90.00 90.00
Closest atoms and distances in Å follow each position.
Sites, in units of the cell vectors:
Zr 0.0000 0.5000 0.0000  2 Rh 2.48
Zr 0.5000 0.0000 0.0000  2 Rh 2.48
Al 0.0000 0.0000 0.5000  8 Zr 3.42, 4 Tc 3.51
Tc 0.5000 0.5000 0.5000  2 Rh 2.35
Rh 0.5000 0.5000 0.0000  2 Tc 2.35, 4 Zr 2.48

## Properties
Symmetry: No. 123



no.,energy of formation from the pure elements (eV per atom)
1,-0.61
2,0.61